Density functional theory data (PBE) for a geometry-optimized NdCdPt2 structure. Values from VASP.

Cell and atoms, written as Quantum ESPRESSO input:
```
&SYSTEM
  ibrav = 0, nat = 4, ntyp = 3
/
ATOMIC_SPECIES
Nd 144.24 Nd.upf
Cd 112.41 Cd.upf
Pt 195.08 Pt.upf
ATOMIC_POSITIONS crystal
Nd 0.000 0.000 0.000
Cd 0.000 0.000 0.500
Pt 0.500 0.500 0.269
Pt 0.500 0.500 0.731
CELL_PARAMETERS angstrom
3.670 0.000 0.000
0.000 3.670 0.000
0.000 0.000 6.140
```

Computed properties:
- raw total energy (eV per atom) = -5.157
- formation energy from the elements (eV/atom) = -0.716
- calculated volume (Å³/cell) = 83